Version A
Compound: Bi2Pd2O5
Source: OQMD
Functional: PBE
Structure: optimized geometry

Structure (CIF):
```
data_Bi2Pd2O5
_symmetry_space_group_name_H-M 'P 1'
_symmetry_Int_Tables_number 1
_symmetry_space_group_name_Hall 'P 1'
_cell_length_a 4.071
_cell_length_b 4.071
_cell_length_c 7.056
_cell_angle_alpha 90.00
_cell_angle_beta 90.00
_cell_angle_gamma 90.00
loop_
_atom_site_label
_atom_site_fract_x
_atom_site_fract_y
_atom_site_fract_z
Bi1 0.000 0.000 0.000
Bi2 0.000 0.000 0.500
Pd1 0.500 0.500 0.194
Pd2 0.500 0.500 0.806
O1 0.000 0.500 0.230
O2 0.000 0.500 0.770
O3 0.500 0.000 0.230
O4 0.500 0.000 0.770
O5 0.500 0.500 0.500
```

---

Version B
Compound: Bi2Pd2O5
Source: OQMD
Functional: PBE
Structure: optimized geometry

Structure (CIF):
```
data_Bi2Pd2O5
_symmetry_space_group_name_H-M 'P 1'
_symmetry_Int_Tables_number 1
_symmetry_space_group_name_Hall 'P 1'
_cell_length_a 3.687
_cell_length_b 3.687
_cell_length_c 9.835
_cell_angle_alpha 90.00
_cell_angle_beta 90.00
_cell_angle_gamma 90.00
loop_
_atom_site_label
_atom_site_fract_x
_atom_site_fract_y
_atom_site_fract_z
Bi1 0.000 0.000 0.243
Bi2 0.000 0.000 0.757
Pd1 0.500 0.500 0.000
Pd2 0.500 0.500 0.500
O1 0.000 0.000 0.000
O2 0.000 0.500 0.373
O3 0.000 0.500 0.627
O4 0.500 0.000 0.373
O5 0.500 0.000 0.627
```

---

Relative energies in meV per atom: version A 0; version B 153

---

Version A
Compound: Pm2Bi2O5
Source: OQMD
Functional: PBE
Structure: optimized geometry

Structure (CIF):
```
data_Pm2Bi2O5
_symmetry_space_group_name_H-M 'P 1'
_symmetry_Int_Tables_number 1
_symmetry_space_group_name_Hall 'P 1'
_cell_length_a 4.389
_cell_length_b 4.389
_cell_length_c 7.477
_cell_angle_alpha 90.00
_cell_angle_beta 90.00
_cell_angle_gamma 90.00
loop_
_atom_site_label
_atom_site_fract_x
_atom_site_fract_y
_atom_site_fract_z
Pm1 0.000 0.000 0.000
Pm2 0.000 0.000 0.500
Bi1 0.500 0.500 0.216
Bi2 0.500 0.500 0.784
O1 0.000 0.500 0.274
O2 0.000 0.500 0.726
O3 0.500 0.000 0.274
O4 0.500 0.000 0.726
O5 0.500 0.500 0.500
```

---

Version B
Compound: Pm2Bi2O5
Source: OQMD
Functional: PBE
Structure: optimized geometry

Structure (CIF):
```
data_Pm2Bi2O5
_symmetry_space_group_name_H-M 'P 1'
_symmetry_Int_Tables_number 1
_symmetry_space_group_name_Hall 'P 1'
_cell_length_a 3.976
_cell_length_b 3.976
_cell_length_c 9.814
_cell_angle_alpha 90.00
_cell_angle_beta 90.00
_cell_angle_gamma 90.00
loop_
_atom_site_label
_atom_site_fract_x
_atom_site_fract_y
_atom_site_fract_z
Pm1 0.000 0.000 0.247
Pm2 0.000 0.000 0.753
Bi1 0.500 0.500 0.000
Bi2 0.500 0.500 0.500
O1 0.000 0.000 0.000
O2 0.000 0.500 0.357
O3 0.000 0.500 0.643
O4 0.500 0.000 0.357
O5 0.500 0.000 0.643
```

---

Relative energies in meV per atom: version A 540; version B 0